The following is a DFT calculation (PBE-GGA) of an optimized crystal structure of CaZr2Pd2.

Unit cell a=8.401 b=8.401 c=2.975 alpha=90.00 beta=90.00 gamma=90.00
Fractional coordinates of all 10 atoms:
Ca: 0.000 0.000 0.000
Ca: 0.500 0.500 0.000
Zr: 0.133 0.367 0.000
Zr: 0.367 0.867 0.000
Zr: 0.633 0.133 0.000
Zr: 0.867 0.633 0.000
Pd: 0.164 0.664 0.500
Pd: 0.336 0.164 0.500
Pd: 0.664 0.836 0.500
Pd: 0.836 0.336 0.500

The calculation puts the size of the total moment at 0.0 μB/cell. The density of states at the Fermi level is 7.58 states/eV per cell. As for the energy above the most stable polymorph in this dataset: 0.038 eV per atom. The total energy comes out at -6.28 eV per atom. For the formation energy from the elements, the calculation gives -386 meV per atom. The density is 6.9 g/cm3. The calculation puts the volume at 209.9 Å³ per cell. Its space group is P4/mbm (127).